Compound: Nd2U3Se8
Source: Alexandria
Functional: GGA-PBE
Structure: optimized geometry

Geometry as CIF:
```
data_Nd2U3Se8
_chemical_formula_sum 'Nd4 U6 Se16'
_space_group_name_H-M_alt 'C m m m'
_space_group_IT_number 65
_space_group_name_Hall '-C 2 2'
_cell_length_a 9.8904
_cell_length_b 14.2542
_cell_length_c 4.9752
_cell_angle_alpha 90.00
_cell_angle_beta 90.00
_cell_angle_gamma 90.00
loop_
_atom_site_label
_atom_site_type_symbol
_atom_site_fract_x
_atom_site_fract_y
_atom_site_fract_z
_atom_site_occupancy
Nd1 Nd 0.0000 0.2332 0.0000 1
U1 U 0.0000 0.5000 0.0000 1
U2 U 0.2353 0.0000 0.5000 1
Se1 Se 0.0000 0.1232 0.5000 1
Se2 Se 0.0000 0.3860 0.5000 1
Se3 Se 0.2381 0.3797 0.0000 1
```

total magnetization	15.99	Bohr magnetons per cell
offset from the most stable computed form	0	meV/atom
uncorrected energy	-6.835	eV per atom
uncorrected formation energy	-1.352	eV per atom

---

Compound: Nd2USe5
Source: Alexandria
Functional: GGA-PBE
Structure: optimized geometry

Geometry as CIF:
```
data_Nd2USe5
_chemical_formula_sum 'Nd8 U4 Se20'
_space_group_name_H-M_alt 'P n m a'
_space_group_IT_number 62
_cell_length_a 12.5162
_cell_length_b 8.4156
_cell_length_c 7.8829
_cell_angle_alpha 90.00
_cell_angle_beta 90.00
_cell_angle_gamma 90.00
loop_
_space_group_symop_operation_xyz
'x,y,z'
'-x,-y,-z'
'-x+1/2,-y,z+1/2'
'x+1/2,y,-z+1/2'
'x+1/2,-y+1/2,-z+1/2'
'-x+1/2,y+1/2,z+1/2'
'-x,y+1/2,-z'
'x,-y+1/2,z'
loop_
_atom_site_label
_atom_site_type_symbol
_atom_site_fract_x
_atom_site_fract_y
_atom_site_fract_z
_atom_site_occupancy
Nd1 Nd 0.1784 0.0018 0.0228 1
U1 U 0.0081 0.7500 0.5720 1
Se1 Se 0.9997 0.2500 0.0452 1
Se2 Se 0.0962 0.0436 0.6631 1
Se3 Se 0.1840 0.7500 0.3282 1
Se4 Se 0.2142 0.2500 0.3034 1
```

total magnetization	8.00	Bohr magnetons per cell
offset from the most stable computed form	0	meV/atom
uncorrected energy	-6.405	eV per atom
uncorrected formation energy	-1.624	eV per atom

---

Compound: NdUSe4
Source: Alexandria
Functional: GGA-PBE
Structure: optimized geometry

Geometry as CIF:
```
data_NdUSe4
_chemical_formula_sum 'Nd2 U2 Se8'
_space_group_name_H-M_alt 'P 1 21/c 1'
_space_group_IT_number 14
_cell_length_a 7.0477
_cell_length_b 7.0644
_cell_length_c 7.1019
_cell_angle_alpha 90.00
_cell_angle_beta 95.42
_cell_angle_gamma 90.00
loop_
_space_group_symop_operation_xyz
'x,y,z'
'-x,-y,-z'
'-x,y+1/2,-z+1/2'
'x,-y+1/2,z+1/2'
loop_
_atom_site_label
_atom_site_type_symbol
_atom_site_fract_x
_atom_site_fract_y
_atom_site_fract_z
_atom_site_occupancy
Nd1 Nd 0.0000 0.0000 0.0000 1
U1 U 0.5000 0.0000 0.5000 1
Se1 Se 0.1679 0.1560 0.3645 1
Se2 Se 0.3387 0.6778 0.3035 1
```

total magnetization	2.00	Bohr magnetons per cell
offset from the most stable computed form	122	meV/atom
uncorrected energy	-6.235	eV per atom
uncorrected formation energy	-1.236	eV per atom

---

Compound: Nd3USe6
Source: Alexandria
Functional: GGA-PBE
Structure: optimized geometry

Geometry as CIF:
```
data_Nd3USe6
_chemical_formula_sum 'Nd12 U4 Se24'
_space_group_name_H-M_alt 'C m c 21'
_space_group_IT_number 36
_cell_length_a 11.4826
_cell_length_b 14.2060
_cell_length_c 7.2782
_cell_angle_alpha 90.00
_cell_angle_beta 90.00
_cell_angle_gamma 90.00
loop_
_space_group_symop_operation_xyz
'x,y,z'
'-x,-y,z+1/2'
'-x,y,z'
'x,-y,z+1/2'
'x+1/2,y+1/2,z'
'-x+1/2,-y+1/2,z+1/2'
'-x+1/2,y+1/2,z'
'x+1/2,-y+1/2,z+1/2'
loop_
_atom_site_label
_atom_site_type_symbol
_atom_site_fract_x
_atom_site_fract_y
_atom_site_fract_z
_atom_site_occupancy
Nd1 Nd 0.0000 0.0962 0.0000 1
Nd2 Nd 0.1888 0.3960 0.1070 1
U1 U 0.0000 0.3350 0.6180 1
Se1 Se 0.0000 0.2691 0.2525 1
Se2 Se 0.0000 0.4928 0.8720 1
Se3 Se 0.1642 0.0327 0.2985 1
Se4 Se 0.1668 0.2364 0.8202 1
```

total magnetization	12.02	Bohr magnetons per cell
uncorrected energy	-6.251	eV per atom
uncorrected formation energy	-1.601	eV per atom

---

Compound: NdUSe3
Source: Alexandria
Functional: GGA-PBE
Structure: optimized geometry

Geometry as CIF:
```
data_NdUSe3
_chemical_formula_sum 'Nd4 U4 Se12'
_space_group_name_H-M_alt 'C 1 2/m 1'
_space_group_IT_number 12
_cell_length_a 15.0956
_cell_length_b 4.0662
_cell_length_c 9.1079
_cell_angle_alpha 90.00
_cell_angle_beta 93.10
_cell_angle_gamma 90.00
loop_
_space_group_symop_operation_xyz
'x,y,z'
'-x,-y,-z'
'-x,y,-z'
'x,-y,z'
'x+1/2,y+1/2,z'
'-x+1/2,-y+1/2,-z'
'-x+1/2,y+1/2,-z'
'x+1/2,-y+1/2,z'
loop_
_atom_site_label
_atom_site_type_symbol
_atom_site_fract_x
_atom_site_fract_y
_atom_site_fract_z
_atom_site_occupancy
Nd1 Nd 0.1114 0.0000 0.0775 1
U1 U 0.1783 0.5000 0.6434 1
Se1 Se 0.0329 0.5000 0.8342 1
Se2 Se 0.1366 0.0000 0.4312 1
Se3 Se 0.2484 0.0000 0.8397 1
```

total magnetization	10.48	Bohr magnetons per cell
offset from the most stable computed form	56	meV/atom
uncorrected energy	-6.760	eV per atom
uncorrected formation energy	-1.458	eV per atom

---

Compound: Nd5USe6
Source: Alexandria
Functional: GGA-PBE
Structure: optimized geometry

Geometry as CIF:
```
data_Nd5USe6
_chemical_formula_sum 'Nd10 U2 Se12'
_space_group_name_H-M_alt 'C 1 2/m 1'
_space_group_IT_number 12
_cell_length_a 7.2874
_cell_length_b 12.5758
_cell_length_c 7.3055
_cell_angle_alpha 90.00
_cell_angle_beta 109.41
_cell_angle_gamma 90.00
loop_
_space_group_symop_operation_xyz
'x,y,z'
'-x,-y,-z'
'-x,y,-z'
'x,-y,z'
'x+1/2,y+1/2,z'
'-x+1/2,-y+1/2,-z'
'-x+1/2,y+1/2,-z'
'x+1/2,-y+1/2,z'
loop_
_atom_site_label
_atom_site_type_symbol
_atom_site_fract_x
_atom_site_fract_y
_atom_site_fract_z
_atom_site_occupancy
Nd1 Nd 0.0000 0.0000 0.0000 1
Nd2 Nd 0.0000 0.1680 0.5000 1
Nd3 Nd 0.0000 0.3261 0.0000 1
U1 U 0.0000 0.5000 0.5000 1
Se1 Se 0.2430 0.5000 0.2498 1
Se2 Se 0.2442 0.3377 0.7444 1
```

total magnetization	6.13	Bohr magnetons per cell
uncorrected energy	-6.355	eV per atom
uncorrected formation energy	-1.686	eV per atom